The following is a DFT calculation (meta-GGA SCAN) of a crystal of SiAgAu2 relaxed with PBEsol.

Lattice parameters (Å, degrees): 2.9352 2.9352 8.8911 80.50 80.50 60.00
Closest atoms and distances in Å follow each position.
Fractional positions:
Ag 0.2449 0.2449 0.2653  3 Si 2.68, 3 Au 2.86, 6 Ag 2.94
Si 0.4988 0.4988 0.5035  3 Au 2.61, 3 Ag 2.68
Au 0.7565 0.7565 0.7304  3 Si 2.61, 3 Au 2.91
Au 0.9997 0.9997 0.0008  3 Ag 2.86, 9 Au 2.91-2.94

## Properties
- Raw formation energy: 11 kJ per mole of atoms
- Space group: R3m (160)


The following is a DFT calculation (meta-GGA SCAN) of a crystal of SiAg2TeAu relaxed with PBEsol.

Lattice parameters (Å, degrees): 4.6582 4.8411 4.8411 90.00 90.00 90.00
Closest atoms and distances in Å follow each position.
Fractional positions:
Si 0.0000 0.0000 0.0000  2 Au 2.33, 4 Ag 2.42
Ag 0.0000 0.0000 0.5000  2 Si 2.42
Ag 0.0000 0.5000 0.0000  2 Si 2.42
Te 0.5000 0.5000 0.5000  8 Ag 3.36, 4 Au 3.42
Au 0.5000 0.0000 0.0000  2 Si 2.33

## Properties
- Raw formation energy: 43 kJ per mole of atoms
- Space group: P4/mmm (123)


The following is a DFT calculation (meta-GGA SCAN) of a crystal of SmAgAu2 relaxed with PBEsol.

Lattice parameters (Å, degrees): 4.8488 4.8488 4.8488 60.00 60.00 60.00
Closest atoms and distances in Å follow each position.
Fractional positions:
Au 0.2500 0.2500 0.2500  4 Sm 2.97, 4 Ag 2.97
Au 0.7500 0.7500 0.7500  4 Sm 2.97, 4 Ag 2.97
Sm 0.0000 0.0000 0.0000  8 Au 2.97
Ag 0.5000 0.5000 0.5000  8 Au 2.97

## Properties
- Formation energy: -2.8 eV per formula unit
- Space group: Fm-3m (225)